Computed, not measured: crystalline Ac2MnBe2O6 at its relaxed geometry at the PBE with a Hubbard U level of DFT.

a = 5.611 Å, b = 5.611 Å, c = 5.843 Å
α = 90.00°, β = 90.00°, γ = 120.00°
Each line ends with the local moment (μB).
Atoms (fractional coordinates):
Ac 0.667 0.333 0.742  0.01
Ac 0.333 0.667 0.258  0.01
Mn 0.000 0.000 0.000  4.62
Be 0.333 0.667 0.775  0.01
Be 0.667 0.333 0.225  0.01
O 0.111 0.365 0.783  0.02
O 0.635 0.746 0.783  0.02
O 0.254 0.889 0.783  0.02
O 0.889 0.635 0.217  0.02
O 0.365 0.254 0.217  0.02
O 0.746 0.111 0.217  0.02

Output
For the raw total energy, the calculation gives -7.346 eV per atom. As for the space group: P-3 (147). Its density of states at the Fermi level is 0.000 states/eV/f.u.